GGA-PBE Ba2Sr4Bi3Cl2, optimized geometry; formation energy (no corrections) = -1.225 eV/atom; final energy = -3.58 eV/atom; size of the total moment = 0.27 μB per cell
1.0
5.648 0.000 0.000
0.000 5.648 0.000
-2.824 -2.824 13.708
Ba Sr Bi Cl
2 4 3 2
direct
0.296 0.296 0.592
0.704 0.704 0.408
0.420 0.920 0.841
0.920 0.420 0.841
0.080 0.580 0.159
0.580 0.080 0.159
0.000 0.000 0.000
0.166 0.166 0.332
0.834 0.834 0.668
0.416 0.416 0.833
0.584 0.584 0.167